Entry 1:
This record from Alexandria describes an optimized crystal structure of NdPaS4. The functional is PBE.

Geometry as POSCAR:
```
NdPaS4
1.0
4.209 0.000 0.000
0.000 6.379 0.004
0.000 -0.121 6.378
Nd Pa S
1 1 4
Direct
0.500 0.000 0.000 Nd
0.000 0.500 0.500 Pa
0.000 0.208 0.208 S
0.000 0.792 0.792 S
0.500 0.682 0.318 S
0.500 0.318 0.682 S
```

Formation energy without anion corrections ... -1.682 eV per atom
E above lowest polymorph ... 0.025 eV per formula unit
Magnetic moment ... 0.00 μB/f.u.
Energy ... -6.81 eV/atom
Space-group type ... Cmmm (65)


Entry 2:
This record from Alexandria describes an optimized crystal structure of Nd2PaS5. The functional is PBE.

Geometry as POSCAR:
```
Nd2PaS5
1.0
7.513 0.000 0.000
0.000 8.080 0.000
0.000 0.000 12.031
Nd Pa S
8 4 20
Direct
0.476 0.500 0.822 Nd
0.524 0.500 0.178 Nd
0.976 0.500 0.678 Nd
0.524 0.000 0.178 Nd
0.024 0.500 0.322 Nd
0.476 0.000 0.822 Nd
0.024 0.000 0.322 Nd
0.976 0.000 0.678 Nd
0.429 0.250 0.507 Pa
0.571 0.750 0.493 Pa
0.929 0.750 0.993 Pa
0.071 0.250 0.007 Pa
0.048 0.250 0.501 S
0.952 0.750 0.499 S
0.548 0.750 0.999 S
0.452 0.250 0.001 S
0.338 0.959 0.597 S
0.662 0.041 0.403 S
0.838 0.041 0.903 S
0.662 0.459 0.403 S
0.162 0.959 0.097 S
0.338 0.541 0.597 S
0.162 0.541 0.097 S
0.838 0.459 0.903 S
0.195 0.250 0.787 S
0.805 0.750 0.213 S
0.695 0.750 0.713 S
0.305 0.250 0.287 S
0.669 0.250 0.685 S
0.331 0.750 0.315 S
0.169 0.750 0.815 S
0.831 0.250 0.185 S
```

Formation energy without anion corrections ... -1.927 eV per atom
E above lowest polymorph ... 0.000 eV per formula unit
Magnetic moment ... 0.81 μB/f.u.
Energy ... -6.89 eV/atom
Space-group type ... Pnma (62)